Record 1
HoSnBi | Alexandria | PBE | relaxed; energy = -13.269 eV per cell; energy of formation from the pure elements = -0.269 eV per atom
1.0
3.318 0.000 0.000
0.000 5.480 0.000
0.000 -2.740 4.746
Bi Sn Ho
1 1 1
Cartesian
2.753 2.740 1.582
2.780 0.000 0.000
1.102 0.000 3.164


Record 2
HoSnBi2 | Alexandria | PBE | relaxed; energy = -17.670 eV per cell; energy of formation from the pure elements = -0.332 eV per atom
1.0
4.221 0.000 0.000
0.000 4.221 0.000
0.000 0.000 6.607
Bi Ho Sn
2 1 1
Cartesian
0.000 0.000 4.881
0.000 0.000 1.726
2.110 2.110 3.304
2.110 2.110 0.000